DFT (PBE+U) results for a relaxed structure of Li5NiO3F2.

## Properties
- total DFT energy (no corrections) (eV/atom) = -4.7426

abc: 5.1071 5.1071 5.8858
angles: 72.67 72.67 45.43
Site moments in Bohr magnetons follow the coordinates.
Fractional coordinates of all 11 atoms:
F  0.8214  0.8214  0.8472  0.03
F  0.1786  0.1786  0.1528  0.03
Li  0.6769  0.6769  0.6246  0.00
Li  0.6962  0.6962  0.1937  0.00
Li  0.3038  0.3038  0.8063  0.00
Li  0.3231  0.3231  0.3754  0.00
Li  0.0000  0.0000  0.0000  0.00
Ni  0.0000  0.0000  0.5000  1.45
O  0.5000  0.5000  0.5000  -0.20
O  0.1387  0.1387  0.6776  -0.13
O  0.8613  0.8613  0.3224  -0.13

=====

DFT (PBE+U) results for a relaxed structure of LiNi7O7F.

## Properties
- total DFT energy (no corrections) (eV/atom) = -4.7707

abc: 2.9832 5.1955 9.9018
angles: 80.51 90.00 90.00
Site moments in Bohr magnetons follow the coordinates.
Fractional coordinates of all 16 atoms:
Ni  0.0000  0.5155  0.9984  1.78
Ni  0.0000  0.2533  0.7458  1.78
Ni  0.5000  0.7507  0.7448  1.78
Ni  0.0000  0.9988  0.4940  1.79
Ni  0.0000  0.7264  0.2559  1.79
Ni  0.5000  0.4949  0.4964  1.76
Ni  0.5000  0.9993  0.9921  1.77
F  0.0000  0.1327  0.1229  0.07
Li  0.5000  0.2474  0.2712  0.01
O  0.5000  0.6463  0.1181  0.16
O  0.5000  0.3734  0.8806  0.17
O  0.0000  0.8809  0.8737  0.20
O  0.0000  0.6238  0.6275  0.18
O  0.5000  0.1206  0.6263  0.19
O  0.5000  0.8648  0.3729  0.16
O  0.0000  0.3712  0.3794  0.16

=====

DFT (PBE+U) results for a relaxed structure of LiNi3OF5.

## Properties
- total DFT energy (no corrections) (eV/atom) = -4.3853

abc: 5.0477 5.3116 6.6978
angles: 132.27 81.59 118.05
Site moments in Bohr magnetons follow the coordinates.
Fractional coordinates of all 10 atoms:
F  0.2505  0.7501  0.7492  0.06
F  0.9563  0.1611  0.7509  0.06
F  0.4473  0.6403  0.2567  0.08
F  0.0558  0.8648  0.2485  0.07
F  0.5578  0.3559  0.7561  0.06
Ni  0.8431  0.2024  0.4903  1.83
Ni  0.6653  0.3138  0.0152  1.83
Ni  0.3625  0.7081  0.0081  1.80
O  0.7360  0.2288  0.2389  0.11
Li  0.1255  0.7747  0.4860  0.01

=====

DFT (PBE+U) results for a relaxed structure of LiNi6O6F.

## Properties
- total DFT energy (no corrections) (eV/atom) = -4.7965

abc: 14.9817 14.9817 14.9817
angles: 168.61 168.61 16.14
Site moments in Bohr magnetons follow the coordinates.
Fractional coordinates of all 14 atoms:
O  0.0709  0.0709  0.0000  0.16
O  0.7858  0.7858  0.0000  0.18
O  0.9291  0.9291  0.0000  0.16
O  0.6428  0.6428  0.0000  0.19
O  0.3572  0.3572  0.0000  0.19
O  0.2142  0.2142  0.0000  0.18
F  0.5000  0.5000  0.0000  0.04
Li  0.0000  0.0000  0.0000  0.00
Ni  0.8575  0.8575  0.0000  1.78
Ni  0.4276  0.4276  0.0000  1.79
Ni  0.5724  0.5724  0.0000  1.79
Ni  0.7143  0.7143  0.0000  1.79
Ni  0.2857  0.2857  0.0000  1.79
Ni  0.1425  0.1425  0.0000  1.78

=====

DFT (PBE+U) results for a relaxed structure of Li3Ni2P2O8F2.

## Properties
- total DFT energy (no corrections) (eV/atom) = -5.9190

abc: 6.2114 10.9046 11.0690
angles: 90.00 90.25 90.00
Site moments in Bohr magnetons follow the coordinates.
Fractional coordinates of all 68 atoms:
O  0.9545  0.4932  0.8187  0.05
O  0.4556  0.8202  0.9798  0.12
O  0.7507  0.9803  0.8760  0.03
O  0.2518  0.6207  0.9659  0.05
O  0.7493  0.4803  0.6240  0.03
O  0.7519  0.7234  0.2912  0.13
O  0.2507  0.5197  0.3760  0.03
O  0.4585  0.3153  0.5157  0.03
O  0.7923  0.1735  0.7458  0.16
O  0.5463  0.4791  0.8214  0.17
O  0.9556  0.6798  0.4798  0.12
O  0.0415  0.8153  0.9843  0.03
O  0.5444  0.1798  0.0202  0.12
O  0.5415  0.6847  0.4843  0.03
O  0.0444  0.3202  0.5202  0.12
O  0.2482  0.1207  0.5341  0.05
O  0.0455  0.5068  0.1813  0.05
O  0.9537  0.9791  0.6786  0.17
O  0.4537  0.5209  0.1786  0.17
O  0.9585  0.1847  0.0157  0.03
O  0.2077  0.8265  0.2542  0.16
O  0.2923  0.3265  0.2458  0.16
O  0.2481  0.2766  0.7088  0.13
O  0.0463  0.0209  0.3214  0.17
O  0.2493  0.0197  0.1240  0.03
O  0.7077  0.6735  0.7542  0.16
O  0.7482  0.3793  0.0341  0.05
O  0.5455  0.9932  0.6813  0.05
O  0.2519  0.7766  0.7912  0.13
O  0.7518  0.8793  0.4659  0.05
O  0.7481  0.2234  0.2088  0.13
O  0.4545  0.0068  0.3187  0.05
Ni  0.5000  0.5000  0.0000  1.80
Ni  0.0000  0.0000  0.5000  1.80
Ni  0.5000  0.5000  0.5000  1.77
Ni  0.5000  0.0000  0.0000  1.81
Ni  0.5000  0.0000  0.5000  1.78
Ni  0.0000  0.5000  0.0000  1.78
Ni  0.0000  0.5000  0.5000  1.81
Ni  0.0000  0.0000  0.0000  1.77
F  0.7605  0.9549  0.1177  0.06
F  0.2454  0.3775  0.9762  0.06
F  0.2605  0.5451  0.6177  0.06
F  0.7546  0.6225  0.0238  0.06
F  0.2395  0.0451  0.8823  0.06
F  0.7454  0.1225  0.4762  0.06
F  0.7395  0.4549  0.3823  0.06
F  0.2546  0.8775  0.5238  0.06
Li  0.2548  0.2319  0.0912  0.00
Li  0.7548  0.2681  0.5912  0.00
Li  0.2452  0.7319  0.4088  0.00
Li  0.7500  0.0518  0.2674  0.00
Li  0.7500  0.5518  0.2326  0.00
Li  0.9195  0.7881  0.1575  0.00
Li  0.5805  0.2881  0.3425  0.00
Li  0.4195  0.7119  0.6575  0.00
Li  0.2500  0.4482  0.7674  0.00
Li  0.0805  0.2119  0.8425  0.00
Li  0.7452  0.7681  0.9088  0.00
Li  0.2500  0.9482  0.7326  0.00
P  0.2550  0.4662  0.2445  0.00
P  0.7509  0.2418  0.0711  0.00
P  0.7550  0.0338  0.7445  0.00
P  0.2450  0.9662  0.2555  0.00
P  0.7450  0.5338  0.7555  0.00
P  0.2491  0.7582  0.9289  0.00
P  0.2509  0.2582  0.5711  0.00
P  0.7491  0.7418  0.4289  0.00

=====

DFT (PBE+U) results for a relaxed structure of LiNiPO4F.

## Properties
- energy above the lowest structure with this stoichiometry (kJ/mol of formula units) = 40

abc: 4.8508 5.4409 8.7521
angles: 92.40 97.44 120.01
Site moments in Bohr magnetons follow the coordinates.
Fractional coordinates of all 16 atoms:
Ni  0.0000  0.0000  0.0000  1.82
Ni  0.5000  0.5000  0.5000  1.81
O  0.6260  0.3889  0.3138  0.02
O  0.1035  0.7652  0.8570  0.01
O  0.0447  0.7693  0.1756  0.01
O  0.9553  0.2307  0.8244  0.01
O  0.8965  0.2348  0.1430  0.01
O  0.4850  0.6307  0.9866  0.02
O  0.3740  0.6111  0.6862  0.02
O  0.5150  0.3693  0.0134  0.02
F  0.3440  0.1230  0.5444  0.05
F  0.6560  0.8770  0.4556  0.05
Li  0.3947  0.9891  0.3458  0.00
Li  0.6053  0.0109  0.6542  0.00
P  0.7982  0.4526  0.1738  0.01
P  0.2018  0.5474  0.8262  0.01

=====

DFT (PBE+U) results for a relaxed structure of LiNiPO4F.

## Properties
- energy above the lowest structure with this stoichiometry (kJ/mol of formula units) = 17

abc: 5.2008 5.3085 7.2649
angles: 109.43 106.47 98.25
Site moments in Bohr magnetons follow the coordinates.
Fractional coordinates of all 16 atoms:
O  0.6490  0.6894  0.3478  0.06
O  0.7673  0.2212  0.8831  -0.06
O  0.6490  0.1863  0.3891  0.05
O  0.3510  0.3106  0.6522  0.06
O  0.7042  0.8295  0.0753  -0.07
O  0.2327  0.7788  0.1169  -0.06
O  0.3510  0.8137  0.6109  0.05
O  0.2958  0.1705  0.9247  -0.07
Li  0.0690  0.4244  0.8014  0.00
Li  0.9310  0.5756  0.1986  0.00
Ni  0.0000  0.0000  0.0000  1.64
Ni  0.5000  0.5000  0.5000  2.22
F  0.8623  0.6616  0.7273  0.10
F  0.1377  0.3384  0.2727  0.10
P  0.5536  0.8825  0.2352  0.01
P  0.4464  0.1175  0.7648  0.01